[1]
# Sc2CdAu

Sc2CdAu after structural relaxation (GGA-PBE, Alexandria).

The structure in CIF format:
```
data_Sc2CdAu
_cell_length_a 10.184
_cell_length_b 10.184
_cell_length_c 10.184
_cell_angle_alpha 19.42
_cell_angle_beta 19.42
_cell_angle_gamma 19.42
_symmetry_space_group_name_H-M 'P 1'
_symmetry_Int_Tables_number 1
loop_
_symmetry_equiv_pos_as_xyz
'x,y,z'
loop_
_atom_site_label
_atom_site_fract_x
_atom_site_fract_y
_atom_site_fract_z
Sc1 0.101 0.101 0.101
Sc2 0.899 0.899 0.899
Cd1 0.000 0.000 0.000
Au1 0.500 0.500 0.500
```

Calculated values
crystal system: trigonal
spin magnetization: 0.00 μB per formula unit
formation energy from the elements: -20.8 kJ/mol of formula units
theoretical density: 6.5 g cm⁻³


[2]
# Sc2CdAu

Sc2CdAu after structural relaxation (GGA-PBE, Alexandria).

The structure in CIF format:
```
data_Sc2CdAu
_cell_length_a 3.616
_cell_length_b 3.616
_cell_length_c 6.476
_cell_angle_alpha 90.00
_cell_angle_beta 90.00
_cell_angle_gamma 90.00
_symmetry_space_group_name_H-M 'P 1'
_symmetry_Int_Tables_number 1
loop_
_symmetry_equiv_pos_as_xyz
'x,y,z'
loop_
_atom_site_label
_atom_site_fract_x
_atom_site_fract_y
_atom_site_fract_z
Sc1 0.000 0.000 0.000
Sc2 0.500 0.500 0.295
Cd1 0.500 0.500 0.762
Au1 0.000 0.000 0.502
```

Calculated values
crystal system: tetragonal
spin magnetization: 1.16 μB per formula unit
formation energy from the elements: -161.3 kJ/mol of formula units
theoretical density: 7.8 g cm⁻³